Record 1
VASP calculation (GGA-PBE) on crystalline Ca4NdPb5 at its relaxed geometry. Values from VASP.

Results
D(E_F) (states/eV per cell): 7.822
ΔH_f (0 K) (eV per atom): -0.514

The structure in Quantum ESPRESSO input format:
```
&SYSTEM
  ibrav = 0, nat = 10, ntyp = 3
/
ATOMIC_SPECIES
Ca 40.08 Ca.upf
Nd 144.24 Nd.upf
Pb 207.20 Pb.upf
CELL_PARAMETERS angstrom
3.5922 0.0000 0.0000
0.0000 3.5922 0.0000
0.0000 0.0000 23.2839
ATOMIC_POSITIONS crystal
Ca 0.0000 0.0000 0.1001
Ca 0.0000 0.0000 0.2984
Ca 0.0000 0.0000 0.7016
Ca 0.0000 0.0000 0.8999
Nd 0.0000 0.0000 0.5000
Pb 0.5000 0.5000 0.0000
Pb 0.5000 0.5000 0.1996
Pb 0.5000 0.5000 0.3986
Pb 0.5000 0.5000 0.6014
Pb 0.5000 0.5000 0.8004
```


Record 2
VASP calculation (GGA-PBE) on crystalline CaNd2Pb3 at its relaxed geometry. Values from VASP.

Results
D(E_F) (states/eV per cell): 8.046
Energy above the most stable polymorph in this dataset (meV/atom): 3
ΔH_f (0 K) (eV per atom): -0.515

The structure in Quantum ESPRESSO input format:
```
&SYSTEM
  ibrav = 0, nat = 12, ntyp = 3
/
ATOMIC_SPECIES
Ca 40.08 Ca.upf
Nd 144.24 Nd.upf
Pb 207.20 Pb.upf
CELL_PARAMETERS angstrom
5.2197 -7.8234 0.0000
5.2197 7.8234 0.0000
-2.4765 0.0000 4.4475
ATOMIC_POSITIONS crystal
Ca 0.0799 0.9201 0.7500
Ca 0.9201 0.0799 0.2500
Nd 0.2481 0.7519 0.2500
Nd 0.4181 0.5819 0.7500
Nd 0.5819 0.4181 0.2500
Nd 0.7519 0.2481 0.7500
Pb 0.0000 0.5000 0.5000
Pb 0.1651 0.3342 0.0004
Pb 0.3342 0.1651 0.5004
Pb 0.5000 0.0000 0.0000
Pb 0.6658 0.8349 0.4996
Pb 0.8349 0.6658 0.9996
```


Record 3
VASP calculation (GGA-PBE) on crystalline CaNd5Pb3 at its relaxed geometry. Values from VASP.

Results
D(E_F) (states/eV per cell): 17.326
ΔH_f (0 K) (eV per atom): -0.446

The structure in Quantum ESPRESSO input format:
```
&SYSTEM
  ibrav = 0, nat = 18, ntyp = 3
/
ATOMIC_SPECIES
Ca 40.08 Ca.upf
Nd 144.24 Nd.upf
Pb 207.20 Pb.upf
CELL_PARAMETERS angstrom
9.7577 0.0000 0.0000
-4.8788 8.4504 0.0000
0.0000 0.0000 6.8550
ATOMIC_POSITIONS crystal
Ca 0.0000 0.0000 0.0000
Ca 0.0000 0.0000 0.5000
Nd 0.0000 0.3335 0.2500
Nd 0.0000 0.6665 0.7500
Nd 0.3333 0.6667 0.0000
Nd 0.3333 0.6667 0.5000
Nd 0.3335 0.0000 0.2500
Nd 0.3335 0.3335 0.7500
Nd 0.6665 0.0000 0.7500
Nd 0.6665 0.6665 0.2500
Nd 0.6667 0.3333 0.0000
Nd 0.6667 0.3333 0.5000
Pb 0.0000 0.3344 0.7500
Pb 0.0000 0.6656 0.2500
Pb 0.3344 0.0000 0.7500
Pb 0.3344 0.3344 0.2500
Pb 0.6656 0.0000 0.2500
Pb 0.6656 0.6656 0.7500
```